The following is a GGA+U calculation of a geometry-optimized GaMoIO2 structure, from Alexandria.

Space-group type: No. 123
Volume in Å³/cell: 116
ΔE to the lowest computed polymorph in eV/f.u.: 0.000
Crystal system: tetragonal

Unit cell a=4.0354 b=4.0354 c=7.1267 alpha=90.00 beta=90.00 gamma=90.00
Fractional positions:
Ga (0.0000, 0.0000, 0.0000)
Mo (0.5000, 0.5000, 0.5000)
I (0.5000, 0.5000, 0.0000)
O (0.0000, 0.5000, 0.5000)
O (0.5000, 0.0000, 0.5000)